A:
DFT (PBE) results for a relaxed Ge3RhS crystal. Values from VASP.

* magnetization: 0.0 μB/cell
* space group: Pm-3m (221)

```
&SYSTEM
  ibrav = 0, nat = 5, ntyp = 3
/
ATOMIC_SPECIES
Ge 72.64 Ge.upf
S 32.06 S.upf
Rh 102.91 Rh.upf
CELL_PARAMETERS angstrom
4.7626 0.0000 0.0000
0.0000 4.7626 0.0000
0.0000 0.0000 4.7626
ATOMIC_POSITIONS angstrom
Ge 0.0000 0.0000 2.3813
Ge 0.0000 2.3813 0.0000
Ge 2.3813 0.0000 0.0000
S 2.3813 2.3813 2.3813
Rh 0.0000 0.0000 0.0000
```

***

B:
DFT (PBE) results for a relaxed Ge3RhS crystal. Values from VASP.

* magnetization: 0.0 μB/cell
* space group: Pm-3m (221)

```
&SYSTEM
  ibrav = 0, nat = 5, ntyp = 3
/
ATOMIC_SPECIES
Ge 72.64 Ge.upf
Rh 102.91 Rh.upf
S 32.06 S.upf
CELL_PARAMETERS angstrom
-1.8044 3.1054 2.9743
0.9673 -2.8497 3.5622
4.1898 1.9953 0.4585
ATOMIC_POSITIONS angstrom
Ge -0.9022 1.5527 1.4871
Ge 0.4836 -1.4249 1.7811
Ge 2.0949 0.9977 0.2293
Rh 1.6763 1.1255 3.4975
S 0.0000 0.0000 0.0000
```

***

Which of them is most stable, and which least? Most stable: A; least stable: B.

***

A:
DFT (PBE) results for a relaxed GeSbRh crystal. Values from VASP.

* magnetization: 0.0 μB/cell
* space group: P-6m2 (187)

```
&SYSTEM
  ibrav = 0, nat = 3, ntyp = 3
/
ATOMIC_SPECIES
Ge 72.64 Ge.upf
Sb 121.76 Sb.upf
Rh 102.91 Rh.upf
CELL_PARAMETERS angstrom
3.4372 0.0000 0.0000
0.0000 4.4160 0.0000
0.0000 -2.2080 3.8244
ATOMIC_POSITIONS angstrom
Ge 0.5737 0.0000 0.0000
Sb 2.2923 0.0000 2.5496
Rh 0.5713 2.2080 1.2748
```

***

B:
DFT (PBE) results for a relaxed GeSbRh crystal. Values from VASP.

* magnetization: 0.0 μB/cell
* space group: P2_13 (198)

```
&SYSTEM
  ibrav = 0, nat = 12, ntyp = 3
/
ATOMIC_SPECIES
Rh 102.91 Rh.upf
Sb 121.76 Sb.upf
Ge 72.64 Ge.upf
CELL_PARAMETERS angstrom
-0.4389 3.1664 5.3672
-3.6600 -4.4857 2.3470
5.0436 -2.9796 2.1702
ATOMIC_POSITIONS angstrom
Rh 0.0893 -0.6588 7.5231
Sb 2.3324 0.2212 6.3360
Sb 0.3431 -1.5610 3.5892
Ge 3.8046 -1.9728 4.2136
Sb -2.7481 -2.2630 5.7412
Rh 2.9581 -3.4287 6.0442
Sb 1.9622 -4.9952 4.1026
Rh 0.0187 -0.0851 0.1958
Ge -1.1411 0.7187 5.8569
Ge 0.5889 -2.6798 6.1616
Ge -1.3630 -4.6640 3.5370
Rh -1.1765 -4.4252 6.0060
```

***

Which of them is most stable, and which least? Most stable: B; least stable: A.

***

A:
DFT (PBE) results for a relaxed GeSbRh crystal. Values from VASP.

* magnetization: 0.0 μB/cell
* space group: P2_1/c (14)

```
&SYSTEM
  ibrav = 0, nat = 12, ntyp = 3
/
ATOMIC_SPECIES
Sb 121.76 Sb.upf
Ge 72.64 Ge.upf
Rh 102.91 Rh.upf
CELL_PARAMETERS angstrom
6.3844 0.0000 0.0000
0.0000 6.4919 -0.5044
0.0000 -2.2573 6.0560
ATOMIC_POSITIONS angstrom
Sb 0.7494 5.2414 0.3996
Ge 4.1772 2.3192 4.6563
Rh 6.3807 1.1589 1.6820
Ge 0.9850 0.7868 3.9233
Ge 2.2072 1.9154 0.8953
Rh 3.1885 4.2043 0.8416
Ge 5.3994 3.4478 1.6283
Rh 3.1959 0.0303 4.7100
Sb 3.9416 0.1218 2.1240
Sb 2.4428 4.1127 3.4276
Sb 5.6350 -1.0068 5.1520
Rh 0.0037 3.0757 3.8696
```

***

B:
DFT (PBE) results for a relaxed GeSbRh crystal. Values from VASP.

* magnetization: 0.0 μB/cell
* space group: F-43m (216)

```
&SYSTEM
  ibrav = 0, nat = 3, ntyp = 3
/
ATOMIC_SPECIES
Rh 102.91 Rh.upf
Sb 121.76 Sb.upf
Ge 72.64 Ge.upf
CELL_PARAMETERS angstrom
-1.7134 -0.8551 3.9686
2.6525 -0.9681 3.3829
0.5162 2.8847 3.2907
ATOMIC_POSITIONS angstrom
Rh 0.3638 0.2654 2.6605
Sb 0.0000 0.0000 0.0000
Ge 0.7276 0.5307 5.3211
```

***

Which of them is most stable, and which least? Most stable: A; least stable: B.

***

A:
DFT (PBE) results for a relaxed Ge2SbRh2 crystal. Values from VASP.

* magnetization: 0.0 μB/cell
* space group: P4/mbm (127)

```
&SYSTEM
  ibrav = 0, nat = 10, ntyp = 3
/
ATOMIC_SPECIES
Ge 72.64 Ge.upf
Sb 121.76 Sb.upf
Rh 102.91 Rh.upf
CELL_PARAMETERS angstrom
-0.2573 6.7072 -3.4602
-4.8614 2.5010 5.2094
2.2697 0.9456 1.6641
ATOMIC_POSITIONS angstrom
Ge -2.0347 3.0524 3.6892
Ge 0.3416 3.2193 0.3533
Sb -2.5593 4.6041 0.8746
Rh -4.2416 4.5083 3.2236
Rh -0.8771 4.6999 -1.4744
Sb 0.0000 0.0000 0.0000
Rh -1.7575 1.8655 1.3371
Ge -3.1906 6.9345 3.0600
Rh -3.3612 7.3427 0.4121
Ge -0.8143 7.1014 -0.2759
```

***

B:
DFT (PBE) results for a relaxed Ge2SbRh2 crystal. Values from VASP.

* magnetization: 0.0 μB/cell
* space group: P4/mbm (127)

```
&SYSTEM
  ibrav = 0, nat = 10, ntyp = 3
/
ATOMIC_SPECIES
Ge 72.64 Ge.upf
Rh 102.91 Rh.upf
Sb 121.76 Sb.upf
CELL_PARAMETERS angstrom
-3.9275 1.3859 -6.4720
-6.6187 -0.8454 3.8355
-0.0077 2.8488 0.6147
ATOMIC_POSITIONS angstrom
Ge -3.4750 0.7704 -3.6138
Ge -7.0712 -0.2299 0.9773
Ge -2.9237 -0.1030 0.4407
Rh -8.2069 1.5866 -0.5465
Rh -5.7537 2.3114 -3.8752
Rh -4.8001 1.0779 1.8534
Sb -5.2731 0.2702 -1.3183
Sb 0.0000 0.0000 0.0000
Rh -2.3470 1.8028 -1.4754
Ge -7.6225 0.6435 -3.0772
```

***

C:
DFT (PBE) results for a relaxed Ge2SbRh2 crystal. Values from VASP.

* magnetization: 0.0 μB/cell
* space group: I4/mmm (139)

```
&SYSTEM
  ibrav = 0, nat = 5, ntyp = 3
/
ATOMIC_SPECIES
Rh 102.91 Rh.upf
Ge 72.64 Ge.upf
Sb 121.76 Sb.upf
CELL_PARAMETERS angstrom
3.8220 0.0000 0.0000
0.0000 3.8220 0.0000
1.9110 1.9110 6.1289
ATOMIC_POSITIONS angstrom
Rh 1.9110 1.9110 1.4684
Ge 3.8220 1.9110 3.0644
Rh 3.8220 3.8220 4.6604
Ge 1.9110 3.8220 3.0644
Sb 0.0000 0.0000 0.0000
```

***

Which of them is most stable, and which least? Most stable: A; least stable: B.